# LiTl2Tc PBE relaxed
# Energy above the lowest structure with this stoichiometry (eV per atom): 0.112
# Calculated total energy (eV per atom): -3.82
# D(E_F) (states/eV/cell): 4.4
# Energy relative to the elements (eV/atom): 0.43
data_LiTl2Tc
_chemical_formula_sum 'Li2 Tl4 Tc2'
_cell_length_a 9.1064
_cell_length_b 2.9779
_cell_length_c 6.0014
_cell_angle_alpha 90.00
_cell_angle_beta 97.90
_cell_angle_gamma 90.00
_space_group_name_H-M_alt 'C 1 2/m 1'
_space_group_IT_number 12
loop_
_space_group_symop_operation_xyz
'x,y,z'
'-x,-y,-z'
'-x,y,-z'
'x,-y,z'
'x+1/2,y+1/2,z'
'-x+1/2,-y+1/2,-z'
'-x+1/2,y+1/2,-z'
'x+1/2,-y+1/2,z'
loop_
_atom_site_label
_atom_site_type_symbol
_atom_site_fract_x
_atom_site_fract_y
_atom_site_fract_z
Li1 Li 0.0000 0.0000 0.0000
Tl1 Tl 0.2466 0.0000 0.7439
Tc1 Tc 0.0000 0.5000 0.5000

# LiTlTc PBE relaxed
# Energy above the lowest structure with this stoichiometry (eV per atom): 0.032
# Calculated total energy (eV per atom): -4.36
# D(E_F) (states/eV/cell): 3.8
# Energy relative to the elements (eV/atom): 0.53
data_LiTlTc
_chemical_formula_sum 'Li2 Tl2 Tc2'
_cell_length_a 2.8212
_cell_length_b 2.8212
_cell_length_c 13.6386
_cell_angle_alpha 90.00
_cell_angle_beta 90.00
_cell_angle_gamma 90.00
_space_group_name_H-M_alt 'I 4 m m'
_space_group_IT_number 107
_space_group_name_Hall 'I 4 -2'
loop_
_atom_site_label
_atom_site_type_symbol
_atom_site_fract_x
_atom_site_fract_y
_atom_site_fract_z
Li1 Li 0.0000 0.0000 0.0000
Tl1 Tl 0.0000 0.0000 0.6776
Tc1 Tc 0.0000 0.0000 0.3496

# LiTl2Tc PBE relaxed
# Energy above the lowest structure with this stoichiometry (eV per atom): 0.060
# Calculated total energy (eV per atom): -3.87
# D(E_F) (states/eV/cell): 3.7
# Energy relative to the elements (eV/atom): 0.38
data_LiTl2Tc
_chemical_formula_sum 'Li2 Tl4 Tc2'
_cell_length_a 3.3713
_cell_length_b 4.5416
_cell_length_c 10.1515
_cell_angle_alpha 90.00
_cell_angle_beta 90.00
_cell_angle_gamma 90.00
_space_group_name_H-M_alt 'I m m 2'
_space_group_IT_number 44
loop_
_space_group_symop_operation_xyz
'x,y,z'
'-x,-y,z'
'-x,y,z'
'x,-y,z'
'x+1/2,y+1/2,z+1/2'
'-x+1/2,-y+1/2,z+1/2'
'-x+1/2,y+1/2,z+1/2'
'x+1/2,-y+1/2,z+1/2'
loop_
_atom_site_label
_atom_site_type_symbol
_atom_site_fract_x
_atom_site_fract_y
_atom_site_fract_z
Li1 Li 0.0000 0.0000 0.0000
Tl1 Tl 0.0000 0.0000 0.4653
Tl2 Tl 0.0000 0.5000 0.2305
Tc1 Tc 0.0000 0.5000 0.7286

# LiTl3Tc PBE relaxed
# Energy above the lowest structure with this stoichiometry (eV per atom): 0.000
# Calculated total energy (eV per atom): -3.50
# D(E_F) (states/eV/cell): 2.6
# Energy relative to the elements (eV/atom): 0.38
data_LiTl3Tc
_chemical_formula_sum 'Li1 Tl3 Tc1'
_cell_length_a 5.3290
_cell_length_b 5.3290
_cell_length_c 5.3290
_cell_angle_alpha 90.00
_cell_angle_beta 90.00
_cell_angle_gamma 90.00
_space_group_name_H-M_alt 'P m -3 m'
_space_group_IT_number 221
_space_group_name_Hall '-P 4 2 3'
loop_
_atom_site_label
_atom_site_type_symbol
_atom_site_fract_x
_atom_site_fract_y
_atom_site_fract_z
Li1 Li 0.0000 0.0000 0.0000
Tl1 Tl 0.0000 0.5000 0.5000
Tc1 Tc 0.5000 0.5000 0.5000

# LiTl2Tc PBE relaxed
# Energy above the lowest structure with this stoichiometry (eV per atom): 0.179
# Calculated total energy (eV per atom): -3.75
# D(E_F) (states/eV/cell): 2.5
# Energy relative to the elements (eV/atom): 0.50
data_LiTl2Tc
_chemical_formula_sum 'Li1 Tl2 Tc1'
_cell_length_a 3.3380
_cell_length_b 3.3380
_cell_length_c 7.3154
_cell_angle_alpha 90.00
_cell_angle_beta 90.00
_cell_angle_gamma 90.00
_space_group_name_H-M_alt 'P 4 m m'
_space_group_IT_number 99
loop_
_space_group_symop_operation_xyz
'x,y,z'
'-y,x,z'
'-x,-y,z'
'y,-x,z'
'-x,y,z'
'y,x,z'
'x,-y,z'
'-y,-x,z'
loop_
_atom_site_label
_atom_site_type_symbol
_atom_site_fract_x
_atom_site_fract_y
_atom_site_fract_z
Li1 Li 0.0000 0.0000 0.0000
Tl1 Tl 0.0000 0.0000 0.4244
Tl2 Tl 0.5000 0.5000 0.7777
Tc1 Tc 0.5000 0.5000 0.1896

# LiTl2Tc PBE relaxed
# Energy above the lowest structure with this stoichiometry (eV per atom): 0.415
# Calculated total energy (eV per atom): -3.52
# D(E_F) (states/eV/cell): 8.2
# Energy relative to the elements (eV/atom): 0.73
data_LiTl2Tc
_chemical_formula_sum 'Li4 Tl8 Tc4'
_cell_length_a 4.4534
_cell_length_b 4.4534
_cell_length_c 18.8947
_cell_angle_alpha 90.00
_cell_angle_beta 90.00
_cell_angle_gamma 90.00
_space_group_name_H-M_alt 'I -4 2 d'
_space_group_IT_number 122
_space_group_name_Hall 'I -4 2bw'
loop_
_atom_site_label
_atom_site_type_symbol
_atom_site_fract_x
_atom_site_fract_y
_atom_site_fract_z
Li1 Li 0.0000 0.0000 0.0000
Tl1 Tl 0.2432 0.2500 0.6250
Tc1 Tc 0.0000 0.0000 0.5000